Entry from the Alexandria database: a relaxed structure of HfNb2ClO (PBE-GGA).

The structure in POSCAR format:
```
HfNb2ClO
1.0
4.2972 0.0000 0.0000
0.0000 4.4504 0.0000
0.0000 0.0000 4.2972
Nb Hf O Cl
2 1 1 1
Direct
0.0000 0.0000 0.5000
0.5000 0.0000 0.0000
0.0000 0.5000 0.0000
0.0000 0.0000 0.0000
0.5000 0.5000 0.5000
```

As for the uncorrected energy: -7.672 eV per atom. The calculation puts the energy relative to the elements, uncorrected at -0.2926 eV/atom.

Entry from the Alexandria database: a relaxed structure of SmY3Ho2P6 (PBE-GGA).

The structure in POSCAR format:
```
SmY3Ho2P6
1.0
6.9645 -0.0006 0.0011
-3.4811 6.0321 0.0011
-1.1612 -2.0107 6.5669
Sm Y Ho P
1 3 2 6
Direct
0.0000 0.0000 0.0000
0.1659 0.8341 0.5000
0.8341 0.1659 0.5000
0.5000 0.5000 0.5000
0.3331 0.6669 0.0000
0.6669 0.3331 0.0000
0.9164 0.5792 0.7493
0.7461 0.7461 0.2503
0.0836 0.4208 0.2507
0.5792 0.9164 0.7493
0.2539 0.2539 0.7497
0.4208 0.0836 0.2507
```

As for the uncorrected energy: -7.088 eV per atom. The value obtained for the energy of formation from the pure elements is -1.6112 eV per atom.

Entry from the Alexandria database: a relaxed structure of LiTaCu2 (PBE-GGA).

The structure in POSCAR format:
```
LiTaCu2
1.0
-0.2150 0.5044 -2.7789
4.1254 -1.5631 -0.6029
-1.6360 -4.0810 -0.6142
Cu Li Ta
2 1 1
Direct
0.0000 0.0000 0.0000
0.5000 0.5000 0.0000
0.5000 0.0000 0.5000
0.0000 0.5000 0.5000
```

As for the uncorrected energy: -5.070 eV per atom. The value obtained for the energy of formation from the pure elements is 0.4201 eV per atom.